Record 1
Na2PuHgS4 | PBE-GGA | optimized geometry

Computed properties:
- calculated total energy (eV for the cell shown) = -80.728

Cell lengths 6.907, 6.907, 8.929 Å; angles 90.00, 90.00, 90.00 degrees
Space group I-4 (No. 82)
One atom of each set of equivalent atoms:
Na  0.000  0.000  0.000 [2 per cell]
Na  0.000  0.500  0.250 [2 per cell]
Pu  0.000  0.000  0.500 [2 per cell]
Hg  0.000  0.500  0.750 [2 per cell]
S  0.227  0.253  0.620 [8 per cell]


Record 2
RbNaHg | PBE-GGA | optimized geometry

Computed properties:
- calculated total energy (eV for the cell shown) = -11.505
- energy above the most stable polymorph in this dataset (eV per atom) = 0.000

Cell lengths 8.177, 8.177, 8.177 Å; angles 90.00, 90.00, 90.00 degrees
Space group F-43m (No. 216)
One atom of each set of equivalent atoms:
Rb  0.000  0.000  0.000 [4 per cell]
Na  0.000  0.000  0.500 [4 per cell]
Hg  0.250  0.250  0.750 [4 per cell]


Record 3
RbNaHg2 | PBE-GGA | optimized geometry

Computed properties:
- calculated total energy (eV for the cell shown) = -7.509

Cell lengths 6.562, 6.626, 7.003 Å; angles 102.06, 104.34, 95.70 degrees
Space group P-1 (No. 2)
One atom of each set of equivalent atoms:
Rb  0.199  0.332  0.342 [2 per cell]
Na  0.366  0.765  0.048 [2 per cell]
Hg  0.095  0.225  0.804 [2 per cell]
Hg  0.307  0.896  0.575 [2 per cell]


Record 4
NaReHg | PBE-GGA | optimized geometry

Computed properties:
- calculated total energy (eV for the cell shown) = -38.272
- energy above the most stable polymorph in this dataset (eV per atom) = 0.000

Cell lengths 6.568, 6.568, 6.568 Å; angles 90.00, 90.00, 90.00 degrees
Space group F-43m (No. 216)
One atom of each set of equivalent atoms:
Na  0.000  0.000  0.000 [4 per cell]
Re  0.000  0.000  0.500 [4 per cell]
Hg  0.250  0.250  0.250 [4 per cell]


Record 5
NaReHg3Se4 | PBE-GGA | optimized geometry

Computed properties:
- calculated total energy (eV for the cell shown) = -26.866

Cell lengths 6.540, 6.540, 6.540 Å; angles 90.00, 90.00, 90.00 degrees
Space group P-43m (No. 215)
One atom of each set of equivalent atoms:
Na  0.000  0.000  0.000 [1 per cell]
Re  0.500  0.500  0.500 [1 per cell]
Hg  0.000  0.500  0.500 [3 per cell]
Se  0.265  0.265  0.265 [4 per cell]


Record 6
NaReHg3Te4 | PBE-GGA | optimized geometry

Computed properties:
- calculated total energy (eV for the cell shown) = -24.808

Cell lengths 6.951, 6.951, 6.951 Å; angles 90.00, 90.00, 90.00 degrees
Space group P-43m (No. 215)
One atom of each set of equivalent atoms:
Na  0.000  0.000  0.000 [1 per cell]
Re  0.500  0.500  0.500 [1 per cell]
Hg  0.000  0.500  0.500 [3 per cell]
Te  0.268  0.268  0.268 [4 per cell]


Record 7
Na2Hg2S3 | PBE-GGA | optimized geometry

Computed properties:
- calculated total energy (eV for the cell shown) = -72.956
- energy above the most stable polymorph in this dataset (eV per atom) = 0.000

Cell lengths 8.375, 8.375, 8.375 Å; angles 90.00, 90.00, 90.00 degrees
Space group I2_13 (No. 199)
One atom of each set of equivalent atoms:
Na  0.073  0.073  0.073 [8 per cell]
Hg  0.185  0.315  0.685 [8 per cell]
S  0.000  0.250  0.381 [12 per cell]


Record 8
Na2Hg2S3 | PBE-GGA | optimized geometry

Computed properties:
- calculated total energy (eV for the cell shown) = -49.638
- energy above the most stable polymorph in this dataset (eV per atom) = 0.242

Cell lengths 5.5840, 5.5840, 16.3688 Å; angles 90.00, 90.00, 120.00 degrees
Space group R-3m (No. 166, hexagonal axes)
One atom of each set of equivalent atoms:
Na  0.0000  0.0000  0.0000 [3 per cell]
Na  0.0000  0.0000  0.5000 [3 per cell]
Hg  0.0000  0.0000  0.1826 [6 per cell]
S  0.0000  0.5000  0.0000 [9 per cell]


Record 9
Na2SnHgSe2S2 | PBE-GGA | optimized geometry

Computed properties:
- calculated total energy (eV for the cell shown) = -54.731

Cell lengths 9.307, 10.757, 6.575 Å; angles 90.00, 134.20, 90.00 degrees
Space group C2 (No. 5)
One atom of each set of equivalent atoms:
Na  0.000  0.000  0.000 [2 per cell]
Na  0.000  0.216  0.500 [2 per cell]
Sn  0.000  0.487  0.000 [2 per cell]
Hg  0.000  0.729  0.500 [2 per cell]
Se  0.237  0.362  0.462 [4 per cell]
S  0.208  0.608  0.976 [4 per cell]


Record 10
NaSmHgS3 | PBE-GGA | optimized geometry

Computed properties:
- calculated total energy (eV for the cell shown) = -101.656
- energy above the most stable polymorph in this dataset (eV per atom) = 0.050

Cell lengths 17.304, 4.043, 8.758 Å; angles 90.00, 105.52, 90.00 degrees
Space group C2/m (No. 12)
One atom of each set of equivalent atoms:
Na  0.130  0.000  0.073 [4 per cell]
Sm  0.175  0.000  0.600 [4 per cell]
Hg  0.017  0.500  0.724 [4 per cell]
S  0.000  0.000  0.500 [2 per cell]
S  0.000  0.500  0.000 [2 per cell]
S  0.163  0.500  0.370 [4 per cell]
S  0.175  0.500  0.818 [4 per cell]


Record 11
NaSmHgS3 | PBE-GGA | optimized geometry

Computed properties:
- calculated total energy (eV for the cell shown) = -102.164
- energy above the most stable polymorph in this dataset (eV per atom) = 0.028

Cell lengths 4.104, 13.319, 10.913 Å; angles 90.00, 90.00, 90.00 degrees
Space group Cmcm (No. 63)
One atom of each set of equivalent atoms:
Na  0.000  0.244  0.250 [4 per cell]
Sm  0.000  0.500  0.000 [4 per cell]
Hg  0.000  0.044  0.750 [4 per cell]
S  0.000  0.139  0.554 [8 per cell]
S  0.000  0.417  0.750 [4 per cell]


Record 12
NaSmHgS3 | PBE-GGA | optimized geometry

Computed properties:
- calculated total energy (eV for the cell shown) = -102.798
- energy above the most stable polymorph in this dataset (eV per atom) = 0.002

Cell lengths 14.452, 4.096, 11.257 Å; angles 90.00, 90.00, 90.00 degrees
Space group Pnma (No. 62)
One atom of each set of equivalent atoms:
Na  0.209  0.250  0.198 [4 per cell]
Sm  0.039  0.750  0.853 [4 per cell]
Hg  0.054  0.250  0.602 [4 per cell]
S  0.064  0.250  0.372 [4 per cell]
S  0.086  0.750  0.088 [4 per cell]
S  0.163  0.250  0.775 [4 per cell]


Record 13
NaSmHgS3 | PBE-GGA | optimized geometry

Computed properties:
- calculated total energy (eV for the cell shown) = -101.887
- energy above the most stable polymorph in this dataset (eV per atom) = 0.040

Cell lengths 7.992, 4.109, 16.814 Å; angles 90.00, 90.00, 90.00 degrees
Space group Pnma (No. 62)
One atom of each set of equivalent atoms:
Na  0.080  0.250  0.193 [4 per cell]
Sm  0.225  0.250  0.963 [4 per cell]
Hg  0.058  0.250  0.665 [4 per cell]
S  0.012  0.250  0.424 [4 per cell]
S  0.124  0.750  0.063 [4 per cell]
S  0.212  0.250  0.792 [4 per cell]


Record 14
NaSmHgS3 | PBE-GGA | optimized geometry

Computed properties:
- calculated total energy (eV for the cell shown) = -51.272
- energy above the most stable polymorph in this dataset (eV per atom) = 0.013

Cell lengths 7.954, 4.127, 10.622 Å; angles 90.00, 106.18, 90.00 degrees
Space group P2_1/m (No. 11)
One atom of each set of equivalent atoms:
Na  0.185  0.250  0.149 [2 per cell]
Sm  0.326  0.750  0.854 [2 per cell]
Hg  0.075  0.250  0.616 [2 per cell]
S  0.076  0.250  0.857 [2 per cell]
S  0.245  0.750  0.567 [2 per cell]
S  0.432  0.750  0.129 [2 per cell]


Record 15
NaSmHgS3 | PBE-GGA | optimized geometry

Computed properties:
- calculated total energy (eV for the cell shown) = -102.273
- energy above the most stable polymorph in this dataset (eV per atom) = 0.024

Cell lengths 10.975, 4.114, 13.302 Å; angles 90.00, 90.00, 90.00 degrees
Space group Pnma (No. 62)
One atom of each set of equivalent atoms:
Na  0.198  0.250  0.010 [4 per cell]
Sm  0.010  0.750  0.263 [4 per cell]
Hg  0.239  0.750  0.793 [4 per cell]
S  0.037  0.750  0.880 [4 per cell]
S  0.073  0.250  0.396 [4 per cell]
S  0.240  0.250  0.667 [4 per cell]


Record 16
NaSmHgS3 | PBE-GGA | optimized geometry

Computed properties:
- calculated total energy (eV for the cell shown) = -102.846
- energy above the most stable polymorph in this dataset (eV per atom) = 0.000

Cell lengths 12.485, 4.069, 11.671 Å; angles 90.00, 90.00, 90.00 degrees
Space group Pnma (No. 62)
One atom of each set of equivalent atoms:
Na  0.127  0.250  0.014 [4 per cell]
Sm  0.051  0.250  0.671 [4 per cell]
Hg  0.235  0.250  0.295 [4 per cell]
S  0.063  0.750  0.844 [4 per cell]
S  0.077  0.250  0.423 [4 per cell]
S  0.230  0.750  0.149 [4 per cell]


Record 17
NaSmHgS3 | PBE-GGA | optimized geometry

Computed properties:
- calculated total energy (eV for the cell shown) = -102.848
- energy above the most stable polymorph in this dataset (eV per atom) = 0.000

Cell lengths 12.497, 4.068, 11.668 Å; angles 90.00, 90.00, 90.00 degrees
Space group Pnma (No. 62)
One atom of each set of equivalent atoms:
Na  0.127  0.250  0.014 [4 per cell]
Sm  0.051  0.250  0.671 [4 per cell]
Hg  0.235  0.250  0.295 [4 per cell]
S  0.063  0.750  0.844 [4 per cell]
S  0.077  0.250  0.423 [4 per cell]
S  0.230  0.750  0.149 [4 per cell]


Record 18
NaTbHgS3 | PBE-GGA | optimized geometry

Computed properties:
- calculated total energy (eV for the cell shown) = -102.018
- energy above the most stable polymorph in this dataset (eV per atom) = 0.029

Cell lengths 10.818, 4.052, 13.264 Å; angles 90.00, 90.00, 90.00 degrees
Space group Pnma (No. 62)
One atom of each set of equivalent atoms:
Na  0.209  0.250  0.007 [4 per cell]
Tb  0.012  0.750  0.261 [4 per cell]
Hg  0.237  0.750  0.793 [4 per cell]
S  0.032  0.750  0.879 [4 per cell]
S  0.072  0.250  0.394 [4 per cell]
S  0.235  0.250  0.666 [4 per cell]